# 1
# PuTl2Bi2O6 PBE relaxed
# - Raw formation energy: -1464 meV/atom
# - Mass density: 8.73 g/cm³
# - M_tot: 4.0 μB per formula unit
data_PuTl2Bi2O6
_chemical_formula_sum 'Pu2 Tl4 Bi4 O12'
_symmetry_space_group_name_H-M 'C 1 2/m 1'
_symmetry_Int_Tables_number 12
_symmetry_space_group_name_Hall '-C 2y'
_cell_length_a 6.260
_cell_length_b 10.682
_cell_length_c 6.913
_cell_angle_alpha 90.00
_cell_angle_beta 106.22
_cell_angle_gamma 90.00
loop_
_atom_site_label
_atom_site_type_symbol
_atom_site_fract_x
_atom_site_fract_y
_atom_site_fract_z
Pu1 Pu 0.000 0.000 0.000
Tl1 Tl 0.000 0.165 0.500
Bi1 Bi 0.000 0.331 0.000
O1 O 0.206 0.164 0.168
O2 O 0.227 0.000 0.814



# 2
# Pu3Tl4BiO12 PBE relaxed
# - Raw formation energy: -1883 meV/atom
# - Mass density: 9.82 g/cm³
# - M_tot: 7.0 μB per formula unit
data_Pu3Tl4BiO12
_chemical_formula_sum 'Pu6 Tl8 Bi2 O24'
_symmetry_space_group_name_H-M 'I m -3 m'
_symmetry_Int_Tables_number 229
_symmetry_space_group_name_Hall '-I 4 2 3'
_cell_length_a 8.706
_cell_length_b 8.706
_cell_length_c 8.706
_cell_angle_alpha 90.00
_cell_angle_beta 90.00
_cell_angle_gamma 90.00
loop_
_atom_site_label
_atom_site_type_symbol
_atom_site_fract_x
_atom_site_fract_y
_atom_site_fract_z
Pu1 Pu 0.000 0.000 0.500
Tl1 Tl 0.250 0.250 0.250
Bi1 Bi 0.000 0.000 0.000
O1 O 0.000 0.000 0.270
O2 O 0.000 0.250 0.500



# 3
# Pu3Tl2BiO12 PBE relaxed
# - Raw formation energy: -1988 meV/atom
# - Mass density: 7.08 g/cm³
# - M_tot: 5.0 μB per formula unit
data_Pu3Tl2BiO12
_chemical_formula_sum 'Pu9 Tl6 Bi3 O36'
_symmetry_space_group_name_H-M 'R -3 m'
_symmetry_Int_Tables_number 166
_symmetry_space_group_name_Hall '-R 3 2"'
_cell_length_a 8.0505
_cell_length_b 8.0505
_cell_length_c 19.3195
_cell_angle_alpha 90.00
_cell_angle_beta 90.00
_cell_angle_gamma 120.00
loop_
_atom_site_label
_atom_site_type_symbol
_atom_site_fract_x
_atom_site_fract_y
_atom_site_fract_z
Pu1 Pu 0.0000 0.5000 0.0000
Tl1 Tl 0.0000 0.0000 0.1788
Bi1 Bi 0.0000 0.0000 0.5000
O1 O 0.0528 0.5264 0.0996
O2 O 0.0949 0.5474 0.3506